First-principles (PBE-GGA) data for crystalline MgZrIn at its relaxed geometry, as listed in the Alexandria database. Values from VASP.

```
&SYSTEM
  ibrav = 0, nat = 3, ntyp = 3
/
ATOMIC_SPECIES
Mg 24.30 Mg.upf
Zr 91.22 Zr.upf
In 114.82 In.upf
CELL_PARAMETERS angstrom
4.8023 0.0000 0.0000
-2.4011 4.1589 0.0000
0.0000 0.0000 3.3042
ATOMIC_POSITIONS angstrom
Mg 0.0000 0.0000 0.0000
Zr 0.0000 2.7726 1.6558
In 2.4011 1.3863 0.0069
```

Results
- total energy (eV per atom) = -4.449
- total magnetic moment (μB/atom) = 0.00
- space group = P3m1, No. 156


First-principles (PBE-GGA) data for crystalline MgZr5In4 at its relaxed geometry, as listed in the Alexandria database. Values from VASP.

```
&SYSTEM
  ibrav = 0, nat = 10, ntyp = 3
/
ATOMIC_SPECIES
Mg 24.30 Mg.upf
Zr 91.22 Zr.upf
In 114.82 In.upf
CELL_PARAMETERS angstrom
3.1480 0.0000 0.0000
0.0000 3.1480 0.0000
0.0000 0.0000 22.4352
ATOMIC_POSITIONS angstrom
Mg 0.0000 0.0000 0.0000
Zr 1.5740 1.5740 2.3208
Zr 1.5740 1.5740 6.7361
Zr 1.5740 1.5740 11.2176
Zr 1.5740 1.5740 15.6991
Zr 1.5740 1.5740 20.1144
In 0.0000 0.0000 4.5167
In 0.0000 0.0000 8.9787
In 0.0000 0.0000 13.4565
In 0.0000 0.0000 17.9185
```

Results
- total energy (eV per atom) = -5.767
- total magnetic moment (μB/atom) = 0.00
- space group = P4/mmm, No. 123


Question: What is the formula in the first record?
Answer: MgZrIn